A geometry-optimized Zr3CrCl structure. Source: Alexandria, functional GGA-PBE.

abc: 4.786 4.786 4.786
angles: 90.00 90.00 90.00
Fractional positions:
1 Zr 0.500 0.000 0.000
2 Cr 0.500 0.500 0.500
3 Zr 0.000 0.500 0.000
4 Zr 0.000 0.000 0.500
5 Cl 0.000 0.000 0.000

Raw formation energy = 0.228 eV/atom
ΔE to the lowest computed polymorph = 0.00 eV per formula unit
DOS(E_F) = 4.99 states/eV per cell
Calculated volume = 21.9 Å³ per atom